one) GGA-PBEsol TcMoIr, relaxed; crystal system = orthorhombic; D(E_F) = 1.0299 states/eV/atom; symmetry = Imm2
1.0
-2.334 -1.282 -0.321
1.757 -3.395 0.780
-0.539 2.835 3.794
Ir Mo Tc
1 1 1
direct
0.998 0.998 0.996 Ir
0.666 0.666 0.332 Mo
0.336 0.336 0.672 Tc

***

two) GGA-PBEsol TcMoIr, relaxed; crystal system = cubic; D(E_F) = 1.4629 states/eV/atom; symmetry = F-43m
1.0
-0.740 3.168 -2.590
-2.647 -0.481 -3.170
-3.689 1.918 0.062
Ir Mo Tc
1 1 1
direct
0.000 0.000 0.000 Ir
0.500 0.500 0.500 Mo
0.250 0.250 0.250 Tc

***

Which structure is the least stable? The one labeled two).

***

one) GGA-PBEsol TeMoIr3, relaxed; crystal system = cubic; D(E_F) = 2.0847 states/eV/atom; symmetry = Pm-3m
1.0
4.747 0.000 0.000
0.000 4.747 0.000
0.000 0.000 4.747
Mo Ir Te
1 3 1
direct
0.500 0.500 0.500 Mo
0.000 0.500 0.000 Ir
0.000 0.000 0.500 Ir
0.500 0.000 0.000 Ir
0.000 0.000 0.000 Te

***

two) GGA-PBEsol TeMoIr3, relaxed; crystal system = cubic; D(E_F) = 0.9486 states/eV/atom; symmetry = Pm-3m
1.0
4.683 0.000 0.000
0.000 4.683 0.000
0.000 0.000 4.683
Mo Ir Te
1 3 1
direct
0.000 0.000 0.000 Mo
0.000 0.500 0.000 Ir
0.000 0.000 0.500 Ir
0.500 0.000 0.000 Ir
0.500 0.500 0.500 Te

***

Which structure is the least stable? The one labeled one).

***

one) GGA-PBEsol TeMoIr2, relaxed; crystal system = tetragonal; D(E_F) = 0.7694 states/eV/atom; symmetry = P4/mmm
1.0
-0.358 0.551 3.911
2.904 -2.625 0.635
2.725 2.974 -0.169
Ir Mo Te
2 1 1
direct
0.000 0.500 0.000 Ir
0.500 0.000 0.000 Ir
0.500 0.500 0.500 Mo
0.000 0.000 0.500 Te

***

two) GGA-PBEsol TeMoIr2, relaxed; crystal system = trigonal; D(E_F) = 0.7993 states/eV/atom; symmetry = R-3m
1.0
2.889 0.000 0.000
1.444 2.502 0.000
1.444 0.834 9.107
Ir Mo Te
2 1 1
direct
0.256 0.256 0.232 Ir
0.744 0.744 0.768 Ir
0.000 0.000 0.000 Mo
0.500 0.500 0.500 Te

***

Which structure is the least stable? The one labeled one).

***

one) GGA-PBEsol TeMo2Ir, relaxed; crystal system = monoclinic; D(E_F) = 0.8606 states/eV/atom; symmetry = C2/m
1.0
3.079 0.000 0.000
0.000 4.682 0.010
-1.540 -0.610 4.632
Ir Mo Te
1 2 1
direct
0.000 0.500 0.000 Ir
0.263 0.287 0.527 Mo
0.737 0.713 0.473 Mo
0.500 0.000 0.000 Te

***

two) GGA-PBEsol TeMo2Ir, relaxed; crystal system = cubic; D(E_F) = 0.7807 states/eV/atom; symmetry = Fm-3m
1.0
-1.771 4.133 -0.185
-4.196 0.584 -1.519
-3.282 1.171 2.848
Ir Mo Te
1 2 1
direct
0.000 0.000 0.000 Ir
0.250 0.250 0.250 Mo
0.750 0.750 0.750 Mo
0.500 0.500 0.500 Te

***

three) GGA-PBEsol TeMo2Ir, relaxed; crystal system = trigonal; D(E_F) = 0.8264 states/eV/atom; symmetry = R3m
1.0
-1.061 1.318 -2.509
0.283 -1.388 -2.674
-7.803 -3.843 -0.543
Ir Mo Te
1 2 1
direct
0.256 0.256 0.232 Ir
0.000 0.000 0.999 Mo
0.746 0.746 0.762 Mo
0.498 0.498 0.507 Te

***

four) GGA-PBEsol TeMo2Ir, relaxed; crystal system = tetragonal; D(E_F) = 1.4826 states/eV/atom; symmetry = I4/mmm
1.0
-0.014 -0.091 -3.952
-3.279 -2.208 0.062
-0.643 4.548 1.875
Ir Mo Te
1 2 1
direct
0.000 0.000 0.000 Ir
0.750 0.250 0.500 Mo
0.250 0.750 0.500 Mo
0.500 0.500 0.000 Te

***

Which structure is the least stable? The one labeled three).

***

one) GGA-PBEsol TlMo2Ir, relaxed; crystal system = tetragonal; D(E_F) = 0.6965 states/eV/atom; symmetry = P4/mmm
1.0
-1.627 1.042 2.034
-2.284 -0.815 -1.409
0.200 -7.311 3.904
Ir Mo Tl
1 2 1
direct
0.500 0.500 0.500 Ir
0.000 0.000 0.727 Mo
0.000 0.000 0.273 Mo
0.500 0.500 0.000 Tl

***

two) GGA-PBEsol TlMo2Ir, relaxed; crystal system = cubic; D(E_F) = 1.3368 states/eV/atom; symmetry = Fm-3m
1.0
4.526 0.000 0.000
2.263 3.920 0.000
2.263 1.307 3.696
Ir Mo Tl
1 2 1
direct
0.000 0.000 0.000 Ir
0.250 0.250 0.250 Mo
0.750 0.750 0.750 Mo
0.500 0.500 0.500 Tl

***

Which structure is the least stable? The one labeled two).

***

one) GGA-PBEsol MoIrW2, relaxed; crystal system = monoclinic; D(E_F) = 0.7832 states/eV/atom; symmetry = C2/m
1.0
-1.575 0.803 -2.061
0.066 -4.834 -0.145
-3.754 0.573 3.092
Ir Mo W
1 1 2
direct
0.000 0.000 0.500 Ir
0.500 0.000 0.000 Mo
0.740 0.479 0.743 W
0.260 0.521 0.257 W

***

two) GGA-PBEsol MoIrW2, relaxed; crystal system = tetragonal; D(E_F) = 0.9639 states/eV/atom; symmetry = I-4m2
1.0
-2.311 -0.853 3.009
2.829 -2.165 1.559
1.121 4.734 -0.310
Ir Mo W
1 1 2
direct
0.500 0.500 0.000 Ir
0.250 0.750 0.500 Mo
0.000 0.000 0.000 W
0.750 0.250 0.500 W

***

three) GGA-PBEsol MoIrW2, relaxed; crystal system = trigonal; D(E_F) = 1.0955 states/eV/atom; symmetry = R-3m
1.0
2.754 0.000 0.000
1.377 2.385 0.000
1.377 0.795 9.342
Ir Mo W
1 1 2
direct
0.000 0.000 0.000 Ir
0.500 0.500 0.500 Mo
0.253 0.253 0.240 W
0.747 0.747 0.760 W

***

Which structure is the least stable? The one labeled three).

***

one) GGA-PBEsol MoIr2W, relaxed; crystal system = tetragonal; D(E_F) = 0.5298 states/eV/atom; symmetry = P4/mmm
1.0
3.881 0.000 0.000
0.000 3.881 0.000
0.000 0.000 3.881
Mo Ir W
1 2 1
direct
0.500 0.500 0.500 Mo
0.000 0.500 0.000 Ir
0.500 0.000 0.000 Ir
0.000 0.000 0.500 W

***

two) GGA-PBEsol MoIr2W, relaxed; crystal system = orthorhombic; D(E_F) = 0.6204 states/eV/atom; symmetry = Pmm2
1.0
-1.650 -0.751 2.072
3.536 -1.117 2.411
0.199 4.458 1.775
Mo Ir W
1 2 1
direct
0.500 0.000 0.547 Mo
0.000 0.000 0.050 Ir
0.000 0.500 0.699 Ir
0.500 0.500 0.204 W

***

three) GGA-PBEsol MoIr2W, relaxed; crystal system = monoclinic; D(E_F) = 0.6977 states/eV/atom; symmetry = C2/m
1.0
2.742 0.000 0.000
0.000 4.746 -0.004
-1.371 -0.796 4.515
Ir Mo W
2 1 1
direct
0.251 0.250 0.501 Ir
0.749 0.750 0.499 Ir
0.500 0.000 0.000 Mo
0.000 0.500 0.000 W

***

Which structure is the least stable? The one labeled three).

***

one) GGA-PBEsol Mo2IrW, relaxed; crystal system = monoclinic; D(E_F) = 1.0400 states/eV/atom; symmetry = C2/m
1.0
2.695 -0.003 0.000
-0.945 5.080 0.000
-0.875 -2.538 4.416
Ir Mo W
1 2 1
direct
0.000 0.500 0.000 Ir
0.000 0.000 0.500 Mo
0.500 0.500 0.500 Mo
0.500 0.000 0.000 W

***

two) GGA-PBEsol Mo2IrW, relaxed; crystal system = orthorhombic; D(E_F) = 0.8578 states/eV/atom; symmetry = Cmmm
1.0
2.752 0.000 0.000
0.000 4.825 0.015
0.000 -1.647 4.536
Ir Mo W
1 2 1
direct
0.500 0.500 0.500 Ir
0.000 0.500 0.000 Mo
0.000 0.000 0.500 Mo
0.500 0.000 0.000 W

***

Which structure is the least stable? The one labeled one).

***

one) GGA-PBEsol YMo2Ir, relaxed; crystal system = orthorhombic; D(E_F) = 0.8773 states/eV/atom; symmetry = Imm2
1.0
-0.899 -0.673 2.981
-3.675 -2.579 -1.691
4.882 -2.042 -0.691
Ir Mo Y
1 2 1
direct
0.267 0.767 0.534 Ir
0.010 0.010 0.021 Mo
0.725 0.225 0.450 Mo
0.498 0.498 0.996 Y

***

two) GGA-PBEsol YMo2Ir, relaxed; crystal system = monoclinic; D(E_F) = 0.8851 states/eV/atom; symmetry = C2/m
1.0
-1.271 1.229 -2.194
-1.367 -5.018 -0.606
-2.465 2.612 3.995
Ir Mo Y
1 2 1
direct
0.000 0.500 0.000 Ir
0.000 0.000 0.500 Mo
0.500 0.500 0.500 Mo
0.500 0.000 0.000 Y

***

three) GGA-PBEsol YMo2Ir, relaxed; crystal system = monoclinic; D(E_F) = 0.9588 states/eV/atom; symmetry = C2/m
1.0
-0.926 2.808 -0.610
-0.598 -1.181 -4.527
-4.024 -2.380 2.618
Ir Mo Y
1 2 1
direct
0.000 0.500 0.000 Ir
0.273 0.300 0.545 Mo
0.727 0.700 0.455 Mo
0.500 0.000 0.000 Y

***

four) GGA-PBEsol YMo2Ir, relaxed; crystal system = cubic; D(E_F) = 1.0484 states/eV/atom; symmetry = Fm-3m
1.0
4.532 0.000 0.000
2.266 3.925 0.000
2.266 1.308 3.701
Ir Mo Y
1 2 1
direct
0.000 0.000 0.000 Ir
0.250 0.250 0.250 Mo
0.750 0.750 0.750 Mo
0.500 0.500 0.500 Y

***

Which structure is the least stable? The one labeled four).

***

one) GGA-PBEsol YMoIr2, relaxed; crystal system = monoclinic; D(E_F) = 0.9542 states/eV/atom; symmetry = P2/m
1.0
-0.878 2.329 -1.337
-3.042 0.999 3.738
4.422 2.142 0.827
Ir Mo Y
2 1 1
direct
0.000 0.000 0.000 Ir
0.500 0.000 0.500 Ir
0.500 0.500 0.000 Mo
0.000 0.500 0.500 Y

***

two) GGA-PBEsol YMoIr2, relaxed; crystal system = monoclinic; D(E_F) = 0.9435 states/eV/atom; symmetry = Cm
1.0
2.856 0.000 0.000
0.000 4.806 -0.102
-1.428 -1.006 4.899
Ir Mo Y
2 1 1
direct
0.978 0.030 0.956 Ir
0.260 0.706 0.520 Ir
0.527 0.561 0.053 Mo
0.735 0.204 0.470 Y

***

Which structure is the least stable? The one labeled one).

***

one) GGA-PBEsol YMoIr, relaxed; crystal system = trigonal; D(E_F) = 0.6232 states/eV/atom; symmetry = P3m1
1.0
4.166 0.000 0.000
-2.083 3.608 0.000
0.000 0.000 4.250
Ir Mo Y
1 1 1
direct
0.000 0.000 0.857 Ir
0.333 0.667 0.813 Mo
0.667 0.333 0.329 Y

***

two) GGA-PBEsol YMoIr, relaxed; crystal system = cubic; D(E_F) = 0.8945 states/eV/atom; symmetry = F-43m
1.0
-1.095 -1.846 -3.908
-3.019 -3.278 -0.149
-4.022 0.752 -1.772
Ir Mo Y
1 1 1
direct
0.250 0.250 0.250 Ir
0.000 0.000 0.000 Mo
0.500 0.500 0.500 Y

***

Which structure is the least stable? The one labeled two).

***

one) GGA-PBEsol Zn2MoIr, relaxed; crystal system = tetragonal; D(E_F) = 0.4379 states/eV/atom; symmetry = P4mm
1.0
2.835 0.000 0.000
0.000 2.835 0.000
0.000 0.000 6.981
Mo Ir Zn
1 1 2
direct
0.500 0.500 0.744 Mo
0.000 0.000 0.498 Ir
0.000 0.000 0.008 Zn
0.500 0.500 0.250 Zn

***

two) GGA-PBEsol Zn2MoIr, relaxed; crystal system = monoclinic; D(E_F) = 0.7082 states/eV/atom; symmetry = C2/m
1.0
2.756 0.000 0.000
-1.378 4.434 0.000
0.000 -0.902 4.635
Ir Mo Zn
1 1 2
direct
0.500 0.000 0.000 Ir
0.000 0.000 0.500 Mo
0.754 0.508 0.756 Zn
0.246 0.492 0.244 Zn

***

three) GGA-PBEsol Zn2MoIr, relaxed; crystal system = tetragonal; D(E_F) = 0.8334 states/eV/atom; symmetry = I-4m2
1.0
3.975 0.000 0.000
-1.987 4.063 -0.003
0.000 1.947 3.466
Ir Mo Zn
1 1 2
direct
0.500 0.000 0.500 Ir
0.750 0.500 0.750 Mo
0.000 0.000 0.000 Zn
0.250 0.500 0.250 Zn

***

Which structure is the least stable? The one labeled two).